Entry 1:
A geometry-optimized Th2AlRh structure, computed with PBE.

Cell: 3.8788 3.8788 29.4993 Å, 90.00 90.00 120.00°
Space group R-3m (No. 166, hexagonal axes)
Symmetry-distinct sites (fractional):
Th 0.0000 0.0000 0.1084 x6
Al 0.0000 0.0000 0.0000 x3
Rh 0.0000 0.0000 0.5000 x3

Calculated values
ρ = 7698 kg/m³
Offset from the most stable computed form = 0.520 eV/atom
Energy relative to the elements = 0.05 eV per atom
Raw total energy = -77.182 eV for the cell shown


Entry 2:
A geometry-optimized Th3Al8Rh3 structure, computed with PBE.

Cell: 16.106 4.501 8.767 Å, 90.00 122.25 90.00°
Space group C2/m (No. 12)
Symmetry-distinct sites (fractional):
Th 0.000 0.000 0.000 x2
Th 0.215 0.500 0.699 x4
Al 0.010 0.500 0.684 x4
Al 0.127 0.000 0.417 x4
Al 0.135 0.000 0.842 x4
Al 0.147 0.500 0.268 x4
Rh 0.000 0.000 0.500 x2
Rh 0.177 0.500 0.007 x4

Calculated values
ρ = 7543 kg/m³
Energy relative to the elements = -0.69 eV per atom
Raw total energy = -167.823 eV for the cell shown


Entry 3:
A geometry-optimized Th3Al7Rh4 structure, computed with PBE.

Cell: 15.577 4.291 9.553 Å, 90.00 123.82 90.00°
Space group C2/m (No. 12)
Symmetry-distinct sites (fractional):
Th 0.000 0.000 0.000 x2
Th 0.193 0.500 0.698 x4
Al 0.000 0.000 0.500 x2
Al 0.007 0.500 0.295 x4
Al 0.152 0.000 0.423 x4
Al 0.182 0.500 0.021 x4
Rh 0.111 0.000 0.842 x4
Rh 0.162 0.500 0.280 x4

Calculated values
ρ = 8117 kg/m³
Energy relative to the elements = -0.82 eV per atom
Raw total energy = -178.566 eV for the cell shown


Entry 4:
A geometry-optimized Th3Al4Rh4 structure, computed with PBE.

Cell: 4.045 7.496 14.264 Å, 90.00 90.00 90.00°
Space group Immm (No. 71)
Symmetry-distinct sites (fractional):
Th 0.000 0.000 0.000 x2
Th 0.000 0.500 0.121 x4
Al 0.000 0.307 0.321 x8
Rh 0.000 0.000 0.223 x4
Rh 0.000 0.216 0.500 x4

Calculated values
ρ = 9334 kg/m³
Energy relative to the elements = -0.92 eV per atom
Raw total energy = -153.413 eV for the cell shown